Density functional theory data (PBE) for a relaxed structure of SrTa.

Its energy above the lowest structure with this stoichiometry is 0.61 eV per formula unit. The value obtained for the calculated total energy is -5.963 eV per atom. The energy of formation is 805 meV per atom.

The structure belongs to space group P-3m1 (No. 164); the cell edges are 3.5486, 3.5486 and 10.9027 Å and the angles 90.00°, 90.00° and 120.00°. The asymmetric unit holds Sr at (0.3333, 0.6667, 0.1666) and Ta at (0.3333, 0.6667, 0.5806).



Density functional theory data (PBE) for a relaxed structure of SrTa.

Its energy above the lowest structure with this stoichiometry is 1.39 eV per formula unit. The value obtained for the calculated total energy is -5.571 eV per atom. The energy of formation is 1196 meV per atom.

The structure belongs to space group P-6m2 (No. 187); the cell edges are 3.2243, 3.2243 and 5.7253 Å and the angles 90.00°, 90.00° and 120.00°. The asymmetric unit holds Sr at (0.0000, 0.0000, 0.0000) and Ta at (0.6667, 0.3333, 0.5000).



Density functional theory data (PBE) for a relaxed structure of SrTa.

Its energy above the lowest structure with this stoichiometry is 4.43 eV per formula unit. The value obtained for the calculated total energy is -4.053 eV per atom. The energy of formation is 2714 meV per atom.

The structure belongs to space group P6_3/mmc (No. 194); the cell edges are 5.7807, 5.7807 and 6.7169 Å and the angles 90.00°, 90.00° and 120.00°. The asymmetric unit holds Sr at (0.3333, 0.6667, 0.2500) and Ta at (0.3333, 0.6667, 0.7500).



Density functional theory data (PBE) for a relaxed structure of SrTa.

Its energy above the lowest structure with this stoichiometry is 1.10 eV per formula unit. The value obtained for the calculated total energy is -5.721 eV per atom. The energy of formation is 1046 meV per atom.

The structure belongs to space group Fddd (No. 70, origin choice 2); the cell edges are 6.171, 9.867 and 15.964 Å and the angles 90.00°, 90.00° and 90.00°. The asymmetric unit holds Sr at (0.125, 0.292, 0.125) and Ta at (0.125, 0.125, 0.551).



Density functional theory data (PBE) for a relaxed structure of SrTa.

Its energy above the lowest structure with this stoichiometry is 0.59 eV per formula unit. The value obtained for the calculated total energy is -5.975 eV per atom. The energy of formation is 793 meV per atom.

The structure belongs to space group Cmcm (No. 63); the cell edges are 10.371, 7.990 and 6.159 Å and the angles 90.00°, 90.00° and 90.00°. The asymmetric unit holds Sr at (0.178, 0.147, 0.250), Ta at (0.000, 0.251, 0.750) and Ta at (0.000, 0.500, 0.000).



Density functional theory data (PBE) for a relaxed structure of SrTa2.

Its energy above the lowest structure with this stoichiometry is 0.38 eV per formula unit. The value obtained for the calculated total energy is -7.792 eV per atom. The energy of formation is 671 meV per atom.

The structure belongs to space group C2/m (No. 12); the cell edges are 14.640, 3.324 and 6.686 Å and the angles 90.00°, 106.31° and 90.00°. The asymmetric unit holds Sr at (0.033, 0.000, 0.279), Ta at (0.177, 0.500, 0.023) and Ta at (0.226, 0.500, 0.652).



Density functional theory data (PBE) for a relaxed structure of Sr3Ta5.

Its energy above the lowest structure with this stoichiometry is 0.30 eV per formula unit. The value obtained for the calculated total energy is -6.943 eV per atom. The energy of formation is 1095 meV per atom.

The structure belongs to space group Cmmm (No. 65); the cell edges are 10.048, 10.814 and 3.459 Å and the angles 90.00°, 90.00° and 90.00°. The asymmetric unit holds Sr at (0.000, 0.000, 0.000), Sr at (0.249, 0.500, 0.500), Ta at (0.000, 0.289, 0.500), Ta at (0.000, 0.500, 0.000) and Ta at (0.250, 0.250, 0.000).



Density functional theory data (PBE) for a relaxed structure of SrTa.

Its energy above the lowest structure with this stoichiometry is 2.34 eV per formula unit. The value obtained for the calculated total energy is -5.096 eV per atom. The energy of formation is 1671 meV per atom.

The structure belongs to space group Pm-3m (No. 221); the cell edges are 3.836, 3.836 and 3.836 Å and the angles 90.00°, 90.00° and 90.00°. The asymmetric unit holds Sr at (0.000, 0.000, 0.000) and Ta at (0.500, 0.500, 0.500).



Density functional theory data (PBE) for a relaxed structure of SrTa.

Its energy above the lowest structure with this stoichiometry is 0.63 eV per formula unit. The value obtained for the calculated total energy is -5.956 eV per atom. The energy of formation is 812 meV per atom.

The structure belongs to space group R-3m (No. 166, hexagonal axes); the cell edges are 4.6084, 4.6084 and 22.7901 Å and the angles 90.00°, 90.00° and 120.00°. The asymmetric unit holds Sr at (0.0000, 0.0000, 0.0939) and Ta at (0.0000, 0.0000, 0.3336).



Density functional theory data (PBE) for a relaxed structure of SrTa.

Its energy above the lowest structure with this stoichiometry is 0.76 eV per formula unit. The value obtained for the calculated total energy is -5.887 eV per atom. The energy of formation is 881 meV per atom.

The structure belongs to space group Immm (No. 71); the cell edges are 4.399, 5.841 and 16.003 Å and the angles 90.00°, 90.00° and 90.00°. The asymmetric unit holds Sr at (0.000, 0.000, 0.000), Sr at (0.000, 0.500, 0.318), Ta at (0.000, 0.000, 0.500) and Ta at (0.000, 0.500, 0.088).



Density functional theory data (PBE) for a relaxed structure of SrTa2.

Its energy above the lowest structure with this stoichiometry is 1.56 eV per formula unit. The value obtained for the calculated total energy is -7.399 eV per atom. The energy of formation is 1063 meV per atom.

The structure belongs to space group Pnnm (No. 58); the cell edges are 2.951, 8.428 and 5.750 Å and the angles 90.00°, 90.00° and 90.00°. The asymmetric unit holds Sr at (0.000, 0.000, 0.000) and Ta at (0.226, 0.360, 0.000).



Density functional theory data (PBE) for a relaxed structure of SrTa.

Its energy above the lowest structure with this stoichiometry is 0.00 eV per formula unit. The value obtained for the calculated total energy is -6.268 eV per atom. The energy of formation is 499 meV per atom.

The structure belongs to space group P-3m1 (No. 164); the cell edges are 4.5966, 4.5966 and 12.5162 Å and the angles 90.00°, 90.00° and 120.00°. The asymmetric unit holds Sr at (0.0000, 0.0000, 0.0000), Sr at (0.3333, 0.6667, 0.2748), Ta at (0.0000, 0.0000, 0.5000) and Ta at (0.3333, 0.6667, 0.5481).



Density functional theory data (PBE) for a relaxed structure of SrTa4.

The value obtained for the calculated total energy is -6.908 eV per atom. The energy of formation is 2910 meV per atom.

The structure belongs to space group Pm-3m (No. 221); the cell edges are 4.806, 4.806 and 4.806 Å and the angles 90.00°, 90.00° and 90.00°. The asymmetric unit holds Sr at (0.000, 0.000, 0.000), Ta at (0.000, 0.000, 0.500) and Ta at (0.500, 0.500, 0.500).



Density functional theory data (PBE) for a relaxed structure of SrTa2.

Its energy above the lowest structure with this stoichiometry is 1.20 eV per formula unit. The value obtained for the calculated total energy is -7.520 eV per atom. The energy of formation is 942 meV per atom.

The structure belongs to space group P-3m1 (No. 164); the cell edges are 3.0610, 3.0610 and 8.3536 Å and the angles 90.00°, 90.00° and 120.00°. The asymmetric unit holds Sr at (0.0000, 0.0000, 0.0000) and Ta at (0.3333, 0.6667, 0.3537).



Density functional theory data (PBE) for a relaxed structure of Sr4TaTc.

The value obtained for the calculated total energy is -3.123 eV per atom. The energy of formation is 1701 meV per atom.

The structure belongs to space group F-43m (No. 216); the cell edges are 9.525, 9.525 and 9.525 Å and the angles 90.00°, 90.00° and 90.00°. The asymmetric unit holds Sr at (0.125, 0.125, 0.125), Ta at (0.250, 0.250, 0.750) and Tc at (0.000, 0.000, 0.500).



Density functional theory data (PBE) for a relaxed structure of SrTaTc.

Its energy above the lowest structure with this stoichiometry is 1.47 eV per formula unit. The value obtained for the calculated total energy is -7.106 eV per atom. The energy of formation is 861 meV per atom.

The structure belongs to space group P3m1 (No. 156); the cell edges are 4.5954, 4.5954 and 3.5823 Å and the angles 90.00°, 90.00° and 120.00°. The asymmetric unit holds Sr at (0.0000, 0.0000, 0.0000), Ta at (0.6667, 0.3333, 0.4418) and Tc at (0.3333, 0.6667, 0.6014).



Density functional theory data (PBE) for a relaxed structure of SrTaTc2.

Its energy above the lowest structure with this stoichiometry is 1.69 eV per formula unit. The value obtained for the calculated total energy is -7.802 eV per atom. The energy of formation is 765 meV per atom.

The structure belongs to space group P4/mmm (No. 123); the cell edges are 4.809, 4.809 and 3.212 Å and the angles 90.00°, 90.00° and 90.00°. The asymmetric unit holds Sr at (0.000, 0.000, 0.000), Ta at (0.500, 0.500, 0.000) and Tc at (0.000, 0.500, 0.500).



Density functional theory data (PBE) for a relaxed structure of Sr3TaTc.

Its energy above the lowest structure with this stoichiometry is 0.00 eV per formula unit. The value obtained for the calculated total energy is -3.849 eV per atom. The energy of formation is 1604 meV per atom.

The structure belongs to space group Pm-3m (No. 221); the cell edges are 5.560, 5.560 and 5.560 Å and the angles 90.00°, 90.00° and 90.00°. The asymmetric unit holds Sr at (0.000, 0.000, 0.500), Ta at (0.500, 0.500, 0.500) and Tc at (0.000, 0.000, 0.000).



Density functional theory data (PBE) for a relaxed structure of SrTaTc2.

Its energy above the lowest structure with this stoichiometry is 0.78 eV per formula unit. The value obtained for the calculated total energy is -8.027 eV per atom. The energy of formation is 539 meV per atom.

The structure belongs to space group C2/m (No. 12); the cell edges are 8.237, 3.164 and 6.652 Å and the angles 90.00°, 97.94° and 90.00°. The asymmetric unit holds Sr at (0.000, 0.000, 0.000), Ta at (0.000, 0.500, 0.500) and Tc at (0.232, 0.000, 0.672).



Density functional theory data (PBE) for a relaxed structure of SrTa3Tc.

Its energy above the lowest structure with this stoichiometry is 11.00 eV per formula unit. The value obtained for the calculated total energy is -6.357 eV per atom. The energy of formation is 3165 meV per atom.

The structure belongs to space group Pm-3m (No. 221); the cell edges are 4.750, 4.750 and 4.750 Å and the angles 90.00°, 90.00° and 90.00°. The asymmetric unit holds Sr at (0.000, 0.000, 0.000), Ta at (0.000, 0.000, 0.500) and Tc at (0.500, 0.500, 0.500).